LiCoOF2: relaxed, GGA+U.

Output
The crystal system is triclinic. The value obtained for the total energy is -5.075 eV per atom. For the mass density, the calculation gives 3.728 Mg/m³.

abc: 5.0756 5.1388 9.8038
angles: 89.42 104.82 119.31
Element x y z (fractional)
Li 0.8688 0.1950 0.0370
Li 0.1312 0.8050 0.9630
Li 0.8407 0.6796 0.5396
Li 0.1593 0.3204 0.4604
Co 0.3466 0.8817 0.2722
Co 0.6534 0.1183 0.7278
Co 0.3310 0.4336 0.7722
Co 0.6690 0.5664 0.2278
O 0.4662 0.6374 0.3605
O 0.9368 0.5842 0.1362
O 0.0632 0.4158 0.8638
O 0.5338 0.3626 0.6395
F 0.4406 0.1321 0.8781
F 0.9188 0.0664 0.6249
F 0.2691 0.1833 0.1346
F 0.7309 0.8167 0.8654
F 0.0812 0.9336 0.3751
F 0.2618 0.7076 0.6300
F 0.5594 0.8679 0.1219
F 0.7382 0.2924 0.3700